A plane-wave DFT calculation with PBE-GGA was carried out for a relaxed Sc2TcH crystal.

Properties
Energy above the lowest structure with this stoichiometry ... 0.92 eV/f.u.
Crystal system ... cubic

a = 4.466 Å, b = 4.466 Å, c = 4.466 Å
α = 60.00°, β = 60.00°, γ = 60.00°
Element x y z (fractional)
Sc  0.250  0.250  0.250
Sc  0.750  0.750  0.750
Tc  0.000  0.000  0.000
H  0.500  0.500  0.500

A plane-wave DFT calculation with PBE-GGA was carried out for a relaxed Al2ReW crystal.

Properties
Energy above the lowest structure with this stoichiometry ... 0.93 eV/f.u.
Crystal system ... monoclinic
ΔE_f ... -0.024 eV per atom

a = 2.740 Å, b = 4.285 Å, c = 5.217 Å
α = 90.00°, β = 100.36°, γ = 90.00°
Element x y z (fractional)
Al  0.215  0.000  0.252
Al  0.785  0.000  0.748
Re  0.000  0.500  0.500
W  0.500  0.500  0.000

A plane-wave DFT calculation with PBE-GGA was carried out for a relaxed Ce2ScAu3 crystal.

Properties
Crystal system ... tetragonal
ΔE_f ... -0.662 eV per atom

a = 3.462 Å, b = 3.462 Å, c = 11.506 Å
α = 90.00°, β = 90.00°, γ = 90.00°
Element x y z (fractional)
Ce  0.000  0.000  0.177
Ce  0.000  0.000  0.823
Sc  0.000  0.000  0.500
Au  0.500  0.500  0.000
Au  0.500  0.500  0.363
Au  0.500  0.500  0.637